Record 1
Compound: Ni3Ir4
Source: Alexandria via LeMat-Bulk
Functional: GGA-PBE
Structure: relaxed

a b c (Å): 9.387 9.387 9.387
angles (deg): 160.37 160.37 27.90
Atoms (fractional coordinates):
Ni 0.000 0.000 0.000
Ni 0.717 0.717 0.000
Ni 0.283 0.283 0.000
Ir 0.854 0.854 0.000
Ir 0.572 0.572 0.000
Ir 0.428 0.428 0.000
Ir 0.146 0.146 0.000

Summary:
- E: -7.3450 eV/atom
- Crystal system: tetragonal
- ρ: 16.8 g/cm3
- ΔE to the lowest computed polymorph: 0 meV/atom
- ΔE_f: 0.20 eV/atom


Record 2
Compound: NiIr3
Source: Alexandria via LeMat-Bulk
Functional: GGA-PBE
Structure: relaxed

a b c (Å): 2.720 2.720 8.628
angles (deg): 90.00 90.00 120.00
Atoms (fractional coordinates):
Ni 0.333 0.667 0.750
Ir 0.000 0.000 0.991
Ir 0.000 0.000 0.509
Ir 0.333 0.667 0.250

Summary:
- E: -8.0310 eV/atom
- Crystal system: hexagonal
- ρ: 19.1 g/cm3
- ΔE_f: 0.06 eV/atom


Record 3
Compound: NiIr2
Source: Alexandria via LeMat-Bulk
Functional: GGA-PBE
Structure: relaxed

a b c (Å): 4.310 4.310 2.637
angles (deg): 90.00 90.00 120.00
Atoms (fractional coordinates):
Ni 0.000 0.000 0.500
Ir 0.667 0.333 0.000
Ir 0.333 0.667 0.000

Summary:
- E: -7.5410 eV/atom
- Crystal system: hexagonal
- ρ: 17.3 g/cm3
- ΔE_f: 0.29 eV/atom


Record 4
Compound: Ni2Ir
Source: Alexandria via LeMat-Bulk
Functional: GGA-PBE
Structure: relaxed

a b c (Å): 11.535 11.535 11.535
angles (deg): 167.02 167.02 18.39
Atoms (fractional coordinates):
Ni 0.330 0.830 0.500
Ni 0.170 0.670 0.500
Ni 0.580 0.580 0.000
Ni 0.420 0.420 0.000
Ir 0.000 0.000 0.000
Ir 0.750 0.250 0.500

Summary:
- E: -6.6039 eV/atom
- Crystal system: tetragonal
- ρ: 13.3 g/cm3
- ΔE to the lowest computed polymorph: 189 meV/atom
- ΔE_f: 0.20 eV/atom


Record 5
Compound: NiIr2
Source: Alexandria via LeMat-Bulk
Functional: GGA-PBE
Structure: relaxed

a b c (Å): 5.110 5.110 5.110
angles (deg): 60.00 60.00 60.00
Atoms (fractional coordinates):
Ni 0.000 0.000 0.000
Ni 0.250 0.250 0.250
Ir 0.625 0.625 0.625
Ir 0.125 0.625 0.625
Ir 0.625 0.125 0.625
Ir 0.625 0.625 0.125

Summary:
- E: -7.1250 eV/atom
- Crystal system: cubic
- ρ: 15.6 g/cm3
- ΔE_f: 0.71 eV/atom


Record 6
Compound: Ni3Ir7
Source: Alexandria via LeMat-Bulk
Functional: GGA-PBE
Structure: relaxed

a b c (Å): 3.792 5.366 7.101
angles (deg): 101.41 105.48 90.00
Atoms (fractional coordinates):
Ni 0.000 0.000 0.000
Ni 0.803 0.399 0.606
Ni 0.197 0.601 0.394
Ir 0.000 0.500 0.000
Ir 0.798 0.891 0.596
Ir 0.202 0.109 0.404
Ir 0.603 0.305 0.205
Ir 0.397 0.695 0.795
Ir 0.600 0.806 0.200
Ir 0.400 0.194 0.800

Summary:
- E: -7.8703 eV/atom
- Crystal system: monoclinic
- ρ: 18.5 g/cm3
- ΔE_f: 0.07 eV/atom


Record 7
Compound: Ni4Ir5
Source: Alexandria via LeMat-Bulk
Functional: GGA-PBE
Structure: relaxed

a b c (Å): 7.293 7.293 5.158
angles (deg): 90.00 90.00 60.00
Atoms (fractional coordinates):
Ni 0.000 0.000 0.000
Ni 0.000 0.000 0.500
Ni 0.653 0.347 0.250
Ni 0.000 0.653 0.250
Ni 0.347 0.000 0.250
Ni 0.347 0.653 0.750
Ni 0.000 0.347 0.750
Ni 0.653 0.000 0.750
Ir 0.316 0.684 0.250
Ir 0.000 0.316 0.250
Ir 0.684 0.000 0.250
Ir 0.684 0.316 0.750
Ir 0.000 0.684 0.750
Ir 0.316 0.000 0.750
Ir 0.333 0.333 0.000
Ir 0.667 0.667 0.500
Ir 0.667 0.667 0.000
Ir 0.333 0.333 0.500

Summary:
- E: -7.2616 eV/atom
- Crystal system: hexagonal
- ρ: 16.7 g/cm3
- ΔE to the lowest computed polymorph: 163 meV/atom
- ΔE_f: 0.23 eV/atom


Record 8
Compound: NiIr2
Source: Alexandria via LeMat-Bulk
Functional: GGA-PBE
Structure: relaxed

a b c (Å): 4.837 4.837 4.837
angles (deg): 102.01 102.01 125.72
Atoms (fractional coordinates):
Ni 0.750 0.750 0.000
Ni 0.250 0.250 0.000
Ir 0.148 0.352 0.500
Ir 0.352 0.852 0.204
Ir 0.648 0.148 0.796
Ir 0.852 0.648 0.500

Summary:
- E: -7.5183 eV/atom
- Crystal system: tetragonal
- ρ: 18.0 g/cm3
- ΔE_f: 0.32 eV/atom


Copy entry 4 word for word.
Compound: Ni2Ir
Source: Alexandria via LeMat-Bulk
Functional: GGA-PBE
Structure: relaxed

a b c (Å): 11.535 11.535 11.535
angles (deg): 167.02 167.02 18.39
Atoms (fractional coordinates):
Ni 0.330 0.830 0.500
Ni 0.170 0.670 0.500
Ni 0.580 0.580 0.000
Ni 0.420 0.420 0.000
Ir 0.000 0.000 0.000
Ir 0.750 0.250 0.500

Summary:
- E: -6.6039 eV/atom
- Crystal system: tetragonal
- ρ: 13.3 g/cm3
- ΔE to the lowest computed polymorph: 189 meV/atom
- ΔE_f: 0.20 eV/atom